1.
VASP calculation (PBE) on a relaxed ZnSnSe2N crystal.

Cell: 5.230 5.230 3.828 Å, 90.00 90.00 90.00°
Each line ends with the local moment (μB).
Element x y z (fractional)
1 Zn 0.000 0.000 0.000  0.04
2 N 0.000 0.000 0.500  1.06
3 Sn 0.500 0.500 0.500  -0.01
4 Se 0.500 0.000 0.000  0.13
5 Se 0.000 0.500 0.000  0.13

Values from the calculation:
Space-group type   No. 123
Total energy   -3.54 eV/atom
Total magnetic moment   1.92 μB/f.u.
Density of states at the Fermi level   0.756 states/eV/atom



2.
VASP calculation (PBE) on a relaxed SrSe2N crystal.

Cell: 8.569 8.569 6.632 Å, 49.76 49.76 90.00°
Element x y z (fractional)
1 Sr 0.000 0.000 0.000
2 Se 0.875 0.625 0.750
3 N 0.500 0.500 0.000
4 Se 0.375 0.625 0.250
5 Se 0.375 0.125 0.250
6 Se 0.375 0.625 0.750
7 Sr 0.750 0.250 0.500
8 N 0.250 0.750 0.500

Values from the calculation:
Space-group type   No. 141
Total energy   -4.31 eV/atom
Total magnetic moment   0.00 μB/f.u.
Density of states at the Fermi level   0.384 states/eV/atom



3.
VASP calculation (PBE) on a relaxed Sr4Se2N crystal.

Cell: 4.156 7.334 8.145 Å, 116.18 104.78 90.00°
Element x y z (fractional)
1 Sr 0.386 0.748 0.772
2 Se 0.271 0.270 0.543
3 N 0.000 0.000 0.000
4 Se 0.729 0.730 0.457
5 Sr 0.614 0.252 0.228
6 Sr 0.887 0.176 0.774
7 Sr 0.113 0.824 0.226

Values from the calculation:
Space-group type   No. 12
Total energy   -4.37 eV/atom
Total magnetic moment   0.76 μB/f.u.
Density of states at the Fermi level   0.180 states/eV/atom



4.
VASP calculation (PBE) on a relaxed SrSeN2 crystal.

Cell: 6.567 6.567 6.567 Å, 35.59 35.59 35.59°
Element x y z (fractional)
1 N 0.098 0.098 0.098
2 Se 0.000 0.000 0.000
3 Sr 0.500 0.500 0.500
4 N 0.902 0.902 0.902

Values from the calculation:
Space-group type   No. 166
Total energy   -5.08 eV/atom
Total magnetic moment   0.00 μB/f.u.
Density of states at the Fermi level   0.068 states/eV/atom



5.
VASP calculation (PBE) on a relaxed Sr3SeN crystal.

Cell: 7.390 9.318 9.318 Å, 75.26 83.27 83.27°
Element x y z (fractional)
1 Sr 0.597 0.626 0.682
2 Sr 0.903 0.318 0.374
3 Se 0.750 0.083 0.917
4 Sr 0.387 0.956 0.373
5 N 0.120 0.354 0.155
6 Sr 0.113 0.627 0.044
7 Sr 0.132 0.004 0.754
8 Sr 0.403 0.374 0.318
9 N 0.880 0.646 0.845
10 Sr 0.097 0.682 0.626
11 Sr 0.868 0.996 0.246
12 Se 0.250 0.917 0.083
13 Se 0.250 0.338 0.662
14 N 0.380 0.845 0.646
15 N 0.620 0.155 0.354
16 Sr 0.887 0.373 0.956
17 Se 0.750 0.662 0.338
18 Sr 0.368 0.246 0.996
19 Sr 0.632 0.754 0.004
20 Sr 0.613 0.044 0.627

Values from the calculation:
Space-group type   No. 15
Total energy   -4.36 eV/atom
Total magnetic moment   0.00 μB/f.u.
Density of states at the Fermi level   0.047 states/eV/atom



6.
VASP calculation (PBE) on a relaxed SrSe3N crystal.

Cell: 4.639 4.639 4.639 Å, 90.00 90.00 90.00°
Element x y z (fractional)
1 Se 0.000 0.500 0.000
2 Se 0.500 0.000 0.000
3 Se 0.000 0.000 0.500
4 Sr 0.500 0.500 0.500
5 N 0.000 0.000 0.000

Values from the calculation:
Space-group type   No. 221
Total energy   -4.11 eV/atom
Total magnetic moment   0.00 μB/f.u.
Density of states at the Fermi level   0.615 states/eV/atom



7.
VASP calculation (PBE) on a relaxed SrSe2N2 crystal.

Cell: 4.183 4.183 5.263 Å, 90.00 90.00 90.00°
Each line ends with the local moment (μB).
Element x y z (fractional)
1 Sr 0.500 0.500 0.500  0.00
2 Se 0.000 0.000 0.000  -0.03
3 Se 0.000 0.000 0.500  0.06
4 N 0.500 0.000 0.000  0.61
5 N 0.000 0.500 0.000  0.61

Values from the calculation:
Space-group type   No. 123
Total energy   -4.39 eV/atom
Total magnetic moment   1.78 μB/f.u.
Density of states at the Fermi level   0.621 states/eV/atom



8.
VASP calculation (PBE) on a relaxed Sr5Se4N crystal.

Cell: 6.282 7.535 7.535 Å, 79.99 65.37 65.37°
Each line ends with the local moment (μB).
Element x y z (fractional)
1 Se 0.601 0.607 0.203  0.01
2 Sr 0.721 0.189 0.374  0.00
3 Se 0.804 0.797 0.607  0.01
4 Se 0.208 0.203 0.393  0.01
5 Se 0.411 0.393 0.797  0.01
6 Sr 0.911 0.374 0.811  0.00
7 N 0.045 0.000 0.000  0.56
8 Sr 0.095 0.626 0.189  0.00
9 Sr 0.431 0.000 0.000  0.05
10 Sr 0.284 0.811 0.626  0.00

Values from the calculation:
Space-group type   No. 79
Total energy   -4.67 eV/atom
Total magnetic moment   1.01 μB/f.u.



9.
VASP calculation (PBE) on a relaxed SrSeN2 crystal.

Cell: 7.332 7.332 7.332 Å, 25.84 25.84 25.84°
Each line ends with the local moment (μB).
Element x y z (fractional)
1 N 0.885 0.885 0.885  0.01
2 Sr 0.000 0.000 0.000  0.19
3 N 0.115 0.115 0.115  0.01
4 Se 0.500 0.500 0.500  0.00

Values from the calculation:
Space-group type   No. 166
Total energy   -4.28 eV/atom
Total magnetic moment   0.52 μB/f.u.
Density of states at the Fermi level   0.871 states/eV/atom



10.
VASP calculation (PBE) on a relaxed SrSe2N crystal.

Cell: 8.631 8.631 8.631 Å, 24.73 24.73 24.73°
Each line ends with the local moment (μB).
Element x y z (fractional)
1 Se 0.120 0.120 0.120  0.02
2 Sr 0.000 0.000 0.000  0.13
3 N 0.500 0.500 0.500  -0.01
4 Se 0.880 0.880 0.880  0.02

Values from the calculation:
Space-group type   No. 166
Total energy   -3.29 eV/atom
Total magnetic moment   0.47 μB/f.u.
Density of states at the Fermi level   0.618 states/eV/atom



11.
VASP calculation (PBE) on a relaxed Sr4Se2N crystal.

Cell: 5.120 5.120 8.619 Å, 72.72 72.72 90.00°
Element x y z (fractional)
1 Sr 0.000 0.500 0.000
2 Se 0.365 0.365 0.269
3 Sr 0.831 0.831 0.337
4 Se 0.635 0.635 0.731
5 N 0.000 0.000 0.000
6 Sr 0.500 0.000 0.000
7 Sr 0.169 0.169 0.663

Values from the calculation:
Space-group type   No. 139
Total energy   -4.40 eV/atom
Total magnetic moment   0.00 μB/f.u.
Density of states at the Fermi level   0.259 states/eV/atom



12.
VASP calculation (PBE) on a relaxed SrSeN crystal.

Cell: 4.789 5.677 7.908 Å, 134.02 90.00 114.95°
Element x y z (fractional)
1 Se 0.440 0.879 0.190
2 Se 0.560 0.121 0.810
3 Sr 0.000 0.000 0.000
4 N 0.275 0.551 0.525
5 N 0.725 0.449 0.475
6 Sr 0.000 0.000 0.500

Values from the calculation:
Space-group type   No. 12
Total energy   -4.82 eV/atom
Total magnetic moment   0.06 μB/f.u.
Density of states at the Fermi level   0.412 states/eV/atom



13.
VASP calculation (PBE) on a relaxed SrSe2N2 crystal.

Cell: 4.676 4.676 6.289 Å, 90.00 90.00 90.00°
Each line ends with the local moment (μB).
Element x y z (fractional)
1 N 0.000 0.500 0.000  0.02
2 Se 0.500 0.500 0.500  -0.20
3 Sr 0.000 0.000 0.000  0.00
4 N 0.500 0.000 0.000  0.02
5 Se 0.000 0.000 0.500  0.01

Values from the calculation:
Space-group type   No. 123
Total energy   -3.29 eV/atom
Total magnetic moment   0.18 μB/f.u.
Density of states at the Fermi level   1.484 states/eV/atom



14.
VASP calculation (PBE) on a relaxed SrSe2N2 crystal.

Cell: 4.409 4.409 4.546 Å, 90.00 90.00 90.00°
Each line ends with the local moment (μB).
Element x y z (fractional)
1 N 0.000 0.000 0.000  -0.23
2 Se 0.500 0.000 0.000  0.09
3 Sr 0.500 0.500 0.500  0.00
4 N 0.000 0.000 0.500  1.10
5 Se 0.000 0.500 0.000  0.09

Values from the calculation:
Space-group type   No. 123
Total energy   -4.27 eV/atom
Total magnetic moment   1.53 μB/f.u.
Density of states at the Fermi level   0.255 states/eV/atom



15.
VASP calculation (PBE) on a relaxed SrSe2N crystal.

Cell: 6.838 6.838 6.838 Å, 42.59 42.59 42.59°
Each line ends with the local moment (μB).
Element x y z (fractional)
1 N 0.000 0.000 0.000  0.39
2 Se 0.904 0.904 0.904  0.08
3 Sr 0.500 0.500 0.500  0.03
4 Se 0.096 0.096 0.096  0.08

Values from the calculation:
Space-group type   No. 166
Total energy   -4.20 eV/atom
Total magnetic moment   0.91 μB/f.u.
Density of states at the Fermi level   0.568 states/eV/atom



16.
VASP calculation (PBE) on a relaxed SrSe3N crystal.

Cell: 6.103 6.103 6.103 Å, 90.00 90.00 90.00°
Each line ends with the local moment (μB).
Element x y z (fractional)
1 Se 0.000 0.500 0.000  0.79
2 Se 0.000 0.000 0.500  0.86
3 N 0.500 0.500 0.500  1.93
4 Se 0.500 0.000 0.000  0.72
5 Sr 0.000 0.000 0.000  -0.01

Values from the calculation:
Space-group type   No. 221
Total energy   -2.97 eV/atom
Total magnetic moment   7.00 μB/f.u.
Density of states at the Fermi level   0.759 states/eV/atom



17.
VASP calculation (PBE) on a relaxed Sr3SeN crystal.

Cell: 5.185 5.185 5.185 Å, 90.00 90.00 90.00°
Element x y z (fractional)
1 Sr 0.000 0.000 0.500
2 N 0.000 0.000 0.000
3 Sr 0.000 0.500 0.000
4 Sr 0.500 0.000 0.000
5 Se 0.500 0.500 0.500

Values from the calculation:
Space-group type   No. 221
Total energy   -4.28 eV/atom
Total magnetic moment   0.00 μB/f.u.
Density of states at the Fermi level   0.428 states/eV/atom



18.
VASP calculation (PBE) on a relaxed SrSeN crystal.

Cell: 4.052 6.477 8.107 Å, 128.27 72.58 76.14°
Element x y z (fractional)
1 Se 0.432 0.981 0.293
2 Se 0.234 0.947 0.888
3 N 0.784 0.804 0.331
4 Sr 0.316 0.566 0.361
5 Sr 0.350 0.363 0.820
6 N 0.882 0.125 0.850

Values from the calculation:
Space-group type   No. 2
Total energy   -5.02 eV/atom
Total magnetic moment   0.00 μB/f.u.
Density of states at the Fermi level   0.638 states/eV/atom



19.
VASP calculation (PBE) on a relaxed SrSeN2 crystal.

Cell: 6.026 5.179 9.918 Å, 90.00 107.76 90.00°
Element x y z (fractional)
1 Se 0.200 0.750 0.901
2 Sr 0.284 0.250 0.069
3 N 0.416 0.642 0.330
4 Sr 0.716 0.750 0.931
5 N 0.584 0.142 0.670
6 N 0.416 0.858 0.330
7 Se 0.800 0.250 0.099
8 N 0.584 0.358 0.670

Values from the calculation:
Space-group type   No. 11
Total energy   -6.30 eV/atom
Total magnetic moment   0.00 μB/f.u.
Density of states at the Fermi level   0.000 states/eV/atom



20.
VASP calculation (PBE) on a relaxed SrSeN2 crystal.

Cell: 5.296 5.296 6.426 Å, 65.67 65.67 90.00°
Element x y z (fractional)
1 N 0.375 0.457 0.750
2 Sr 0.750 0.250 0.500
3 N 0.207 0.625 0.250
4 Se 0.250 0.750 0.500
5 Sr 0.000 0.000 0.000
6 N 0.875 0.793 0.750
7 N 0.543 0.125 0.250
8 Se 0.500 0.500 0.000

Values from the calculation:
Space-group type   No. 122
Total energy   -5.04 eV/atom
Total magnetic moment   0.00 μB/f.u.
Density of states at the Fermi level   0.050 states/eV/atom



21.
VASP calculation (PBE) on a relaxed Sr3Se2N crystal.

Cell: 7.420 7.472 7.472 Å, 121.79 99.26 99.26°
Each line ends with the local moment (μB).
Element x y z (fractional)
1 Se 0.750 0.757 0.243  0.01
2 Se 0.250 0.243 0.757  0.01
3 Sr 0.504 0.639 0.789  0.01
4 N 0.250 0.573 0.427  0.55
5 Sr 0.996 0.211 0.361  0.01
6 Se 0.750 0.082 0.918  0.03
7 Sr 0.000 0.500 0.000  0.00
8 Sr 0.004 0.789 0.639  0.01
9 Sr 0.496 0.361 0.211  0.01
10 Sr 0.500 0.000 0.500  0.00
11 Se 0.250 0.918 0.082  0.03
12 N 0.750 0.427 0.573  0.55

Values from the calculation:
Space-group type   No. 15
Total energy   -4.69 eV/atom
Total magnetic moment   1.00 μB/f.u.
Density of states at the Fermi level   0.020 states/eV/atom



22.
VASP calculation (PBE) on a relaxed SrSe2N2 crystal.

Cell: 6.190 6.190 5.127 Å, 90.00 90.00 90.00°
Each line ends with the local moment (μB).
Element x y z (fractional)
1 Se 0.000 0.500 0.000  0.80
2 Se 0.500 0.000 0.000  0.80
3 Sr 0.000 0.000 0.000  0.01
4 N 0.000 0.000 0.500  1.49
5 N 0.500 0.500 0.500  1.91

Values from the calculation:
Space-group type   No. 123
Total energy   -3.28 eV/atom
Total magnetic moment   8.00 μB/f.u.
Density of states at the Fermi level   0.787 states/eV/atom



23.
VASP calculation (PBE) on a relaxed SrTaSeN2 crystal.

Cell: 4.179 4.179 5.605 Å, 90.00 90.00 90.00°
Each line ends with the local moment (μB).
Element x y z (fractional)
1 Se 0.000 0.000 0.500  0.00
2 Sr 0.000 0.000 0.000  0.00
3 N 0.500 0.000 0.000  0.12
4 Ta 0.500 0.500 0.500  0.01
5 N 0.000 0.500 0.000  0.12

Values from the calculation:
Space-group type   No. 123
Total energy   -4.76 eV/atom
Total magnetic moment   0.32 μB/f.u.
Density of states at the Fermi level   0.838 states/eV/atom



24.
VASP calculation (PBE) on a relaxed SrTaSeN2 crystal.

Cell: 4.144 4.144 5.312 Å, 90.00 90.00 90.00°
Each line ends with the local moment (μB).
Element x y z (fractional)
1 Ta 0.000 0.000 0.000  -0.04
2 N 0.500 0.000 0.000  0.16
3 Se 0.000 0.000 0.500  0.00
4 N 0.000 0.500 0.000  0.16
5 Sr 0.500 0.500 0.500  0.00

Values from the calculation:
Space-group type   No. 123
Total energy   -7.45 eV/atom
Total magnetic moment   0.40 μB/f.u.
Density of states at the Fermi level   0.317 states/eV/atom



25.
VASP calculation (PBE) on a relaxed SrTiSeN2 crystal.

Cell: 4.235 4.235 5.761 Å, 90.00 90.00 90.00°
Each line ends with the local moment (μB).
Element x y z (fractional)
1 Sr 0.000 0.000 0.000  0.00
2 Ti 0.500 0.500 0.500  0.07
3 Se 0.000 0.000 0.500  -0.02
4 N 0.000 0.500 0.000  0.02
5 N 0.500 0.000 0.000  0.02

Values from the calculation:
Space-group type   No. 123
Total energy   -4.46 eV/atom
Total magnetic moment   0.11 μB/f.u.
Density of states at the Fermi level   1.231 states/eV/atom



26.
VASP calculation (PBE) on a relaxed Sr2TiSeN crystal.

Cell: 5.908 3.865 5.908 Å, 90.00 90.00 90.00°
Each line ends with the local moment (μB).
Element x y z (fractional)
1 N 0.000 0.500 0.000  -0.07
2 Se 0.500 0.500 0.500  0.02
3 Ti 0.000 0.000 0.000  0.96
4 Sr 0.500 0.000 0.000  0.07
5 Sr 0.000 0.000 0.500  0.09

Values from the calculation:
Space-group type   No. 123
Total energy   -4.97 eV/atom
Total magnetic moment   1.59 μB/f.u.
Density of states at the Fermi level   0.353 states/eV/atom



27.
VASP calculation (PBE) on a relaxed SrTiSe2N crystal.

Cell: 5.211 5.211 3.898 Å, 90.00 90.00 90.00°
Each line ends with the local moment (μB).
Element x y z (fractional)
1 N 0.000 0.000 0.500  0.40
2 Sr 0.500 0.500 0.500  0.00
3 Se 0.000 0.500 0.000  0.11
4 Se 0.500 0.000 0.000  0.11
5 Ti 0.000 0.000 0.000  -0.07

Values from the calculation:
Space-group type   No. 123
Total energy   -5.99 eV/atom
Total magnetic moment   0.82 μB/f.u.
Density of states at the Fermi level   0.421 states/eV/atom